[1]
Entry from Alexandria via LeMat-Bulk: a relaxed NiAuSe2 crystal (PBE).

Output
Energy   -16.15 eV per cell
V   96.63 Å³/cell
Formation energy from raw total energies   -0.12 eV/f.u.

Cell lengths 5.302, 3.346, 5.447 Å; angles 90.00, 90.08, 90.00 degrees
Fractional coordinates of all 4 atoms:
Ni1 0.000 0.000 0.000
Au1 0.000 0.000 0.500
Se1 0.240 0.500 0.193
Se2 0.760 0.500 0.807

[2]
Entry from Alexandria via LeMat-Bulk: a relaxed NiAuSe2 crystal (PBE).

Output
Energy   -64.55 eV per cell
V   360.06 Å³/cell
Formation energy from raw total energies   -0.11 eV/f.u.

Cell lengths 6.038, 5.026, 11.896 Å; angles 90.00, 94.17, 90.00 degrees
Fractional coordinates of all 16 atoms:
Ni1 0.001 0.034 0.247
Ni2 0.001 0.466 0.747
Ni3 0.999 0.534 0.253
Ni4 0.999 0.966 0.753
Au1 0.105 0.225 0.952
Au2 0.105 0.275 0.452
Au3 0.895 0.725 0.548
Au4 0.895 0.775 0.048
Se1 0.258 0.210 0.656
Se2 0.258 0.290 0.156
Se3 0.261 0.709 0.863
Se4 0.261 0.791 0.363
Se5 0.739 0.209 0.637
Se6 0.739 0.291 0.137
Se7 0.742 0.710 0.844
Se8 0.742 0.790 0.344

[3]
Entry from Alexandria via LeMat-Bulk: a relaxed NiAuSe2 crystal (PBE).

Output
Energy   -32.52 eV per cell
V   178.39 Å³/cell
Formation energy from raw total energies   -0.23 eV/f.u.

Cell lengths 6.750, 6.750, 6.750 Å; angles 129.53, 129.53, 74.17 degrees
Fractional coordinates of all 8 atoms:
Ni1 0.000 0.000 0.000
Ni2 0.750 0.250 0.500
Au1 0.250 0.750 0.500
Au2 0.500 0.500 0.000
Se1 0.080 0.625 0.955
Se2 0.375 0.330 0.455
Se3 0.670 0.125 0.045
Se4 0.875 0.920 0.545

no.,calculated density (g cm⁻³)
1,7.11
2,7.63
3,7.70